1.
BeGa3Ir: relaxed, PBEsol.

Output
DOS at the Fermi energy = 1.64 states/eV/cell
magnetic moment = 0.00 μB per cell
energy of formation = 0.6166 eV/atom
calculated total energy = -4.1520 eV/atom

Cell lengths 4.212, 4.212, 4.212 Å; angles 90.00, 90.00, 90.00 degrees
Space group Pm-3m (No. 221)
Symmetry-distinct sites (fractional):
Be: 0.000 0.000 0.000 x1
Ga: 0.000 0.000 0.500 x3
Ir: 0.500 0.500 0.500 x1

2.
BaPbO3: relaxed, PBEsol.

Output
DOS at the Fermi energy = 1.53 states/eV/cell
magnetic moment = 0.44 μB per cell
calculated total energy = -4.9309 eV/atom

Cell lengths 4.600, 4.600, 4.600 Å; angles 90.00, 90.00, 90.00 degrees
Space group Pm-3m (No. 221)
Symmetry-distinct sites (fractional):
Ba: 0.000 0.000 0.000 x1
Pb: 0.500 0.500 0.500 x1
O: 0.000 0.000 0.500 x3

3.
Cr2FeRe: relaxed, PBEsol.

Output
DOS at the Fermi energy = 7.82 states/eV/cell
magnetic moment = 4.93 μB per cell
energy of formation = 0.1191 eV/atom
calculated total energy = -10.5758 eV/atom

Cell lengths 5.002, 8.208, 2.510 Å; angles 90.00, 109.93, 90.00 degrees
Space group C2/m (No. 12)
Symmetry-distinct sites (fractional):
Cr: 0.250 0.250 0.000 x4
Fe: 0.000 0.000 0.500 x2
Re: 0.000 0.500 0.500 x2

4.
Ta2Be2Nb: relaxed, PBEsol.

Output
DOS at the Fermi energy = 10.03 states/eV/cell
magnetic moment = 0.00 μB per cell
energy of formation = -0.1375 eV/atom
calculated total energy = -8.9222 eV/atom

Cell lengths 6.443, 6.443, 3.337 Å; angles 90.00, 90.00, 90.00 degrees
Space group P4/mbm (No. 127)
Symmetry-distinct sites (fractional):
Ta: 0.179 0.321 0.000 x4
Be: 0.113 0.613 0.500 x4
Nb: 0.000 0.000 0.500 x2

5.
ReRhBr2N: relaxed, PBEsol.

Output
DOS at the Fermi energy = 2.25 states/eV/cell
magnetic moment = 6.53 μB per cell
calculated total energy = -4.5916 eV/atom

Cell lengths 5.136, 5.136, 4.751 Å; angles 90.00, 90.00, 90.00 degrees
Space group P4/mmm (No. 123)
Symmetry-distinct sites (fractional):
Re: 0.000 0.000 0.000 x1
Rh: 0.000 0.000 0.500 x1
Br: 0.000 0.500 0.500 x2
N: 0.500 0.500 0.000 x1

6.
RePPt: relaxed, PBEsol.

Output
DOS at the Fermi energy = 17.82 states/eV/cell
magnetic moment = 3.86 μB per cell
energy of formation = 0.8658 eV/atom
calculated total energy = -7.8299 eV/atom

Cell lengths 5.871, 5.871, 5.871 Å; angles 90.00, 90.00, 90.00 degrees
Space group F-43m (No. 216)
Symmetry-distinct sites (fractional):
Re: 0.000 0.000 0.000 x4
P: 0.000 0.000 0.500 x4
Pt: 0.250 0.250 0.250 x4

7.
YInPd3: relaxed, PBEsol.

Output
DOS at the Fermi energy = 2.11 states/eV/cell
magnetic moment = 0.00 μB per cell
energy of formation = 0.5175 eV/atom
calculated total energy = -5.0188 eV/atom

Cell lengths 4.931, 4.931, 4.931 Å; angles 90.00, 90.00, 90.00 degrees
Space group Pm-3m (No. 221)
Symmetry-distinct sites (fractional):
Y: 0.000 0.000 0.000 x1
In: 0.500 0.500 0.500 x1
Pd: 0.000 0.000 0.500 x3

8.
MnP2RhO: relaxed, PBEsol.

Output
DOS at the Fermi energy = 3.07 states/eV/cell
magnetic moment = 0.57 μB per cell
calculated total energy = -7.0397 eV/atom

Cell lengths 4.484, 4.484, 3.297 Å; angles 90.00, 90.00, 90.00 degrees
Space group P4/mmm (No. 123)
Symmetry-distinct sites (fractional):
Mn: 0.000 0.000 0.000 x1
P: 0.000 0.500 0.000 x2
Rh: 0.500 0.500 0.500 x1
O: 0.000 0.000 0.500 x1